Entry 1:
DFT (PBE) results for Cs4NdEr3Te8 after structural relaxation.

Output
Spin magnetization, μB per formula unit: 0.000

Geometry as extended XYZ:
```
16
Lattice="4.565 2.636 8.923 -4.565 2.636 8.923 0.000 -5.271 8.923" Properties=species:S:1:pos:R:3 pbc="T T T"
Cs 0.000 0.000 0.000
Cs -2.283 -1.318 8.923
Cs -2.283 1.318 17.846
Cs 0.000 2.636 8.923
Nd 0.000 0.000 13.384
Er -4.565 0.000 13.384
Er -2.283 1.318 4.461
Er 2.283 1.318 4.461
Te -2.340 -1.351 15.084
Te 0.000 0.000 6.130
Te 0.000 -2.702 11.685
Te -2.340 1.351 11.685
Te 2.340 -1.351 15.084
Te 0.000 2.702 15.084
Te 0.000 0.000 20.638
Te 2.340 1.351 11.685
```


Entry 2:
DFT (PBE) results for ScSn3H after structural relaxation.

Output
Spin magnetization, μB per formula unit: 0.000
Energy relative to the lowest polymorph listed for this composition, meV/atom: 0

Geometry as extended XYZ:
```
5
Lattice="4.678 0.000 0.000 0.000 4.678 0.000 0.000 0.000 4.678" Properties=species:S:1:pos:R:3 pbc="T T T"
Sc 0.000 0.000 0.000
Sn 0.000 2.339 2.339
Sn 2.339 0.000 2.339
Sn 2.339 2.339 0.000
H 2.339 2.339 2.339
```


Entry 3:
DFT (PBE) results for MgTl after structural relaxation.

Output
Spin magnetization, μB per formula unit: 0.000

Geometry as extended XYZ:
```
4
Lattice="1.756 -5.732 0.000 1.756 5.732 0.000 0.000 0.000 5.120" Properties=species:S:1:pos:R:3 pbc="T T T"
Mg 1.756 4.693 3.840
Mg 1.756 -4.693 1.280
Tl 1.756 1.631 3.840
Tl 1.756 -1.631 1.280
```


Per-record VASP energy, eV per atom: -4.316 -4.382 -1.987